<1>
KAu2Br: relaxed, GGA-PBE.

a b c (Å): 5.7959 13.6838 4.0663
angles (deg): 90.00 134.53 90.00
Sites, in units of the cell vectors:
K  0.0000  0.0000  0.0000
K  0.5000  0.5000  0.0000
Au  0.2500  0.2500  0.5000
Au  0.2500  0.7500  0.5000
Au  0.7500  0.2500  0.5000
Au  0.7500  0.7500  0.5000
Br  0.0000  0.5000  0.0000
Br  0.5000  0.0000  0.0000

Output
* SG: C2/m, No. 12



<2>
KAu2Br: relaxed, GGA-PBE.

a b c (Å): 7.3647 7.3647 7.3647
angles (deg): 90.00 90.00 90.00
Sites, in units of the cell vectors:
K  0.0000  0.0000  0.0000
K  0.0000  0.5000  0.5000
K  0.5000  0.0000  0.5000
K  0.5000  0.5000  0.0000
Au  0.0000  0.0000  0.5000
Au  0.0000  0.5000  0.0000
Au  0.2500  0.2500  0.2500
Au  0.2500  0.7500  0.7500
Au  0.5000  0.0000  0.0000
Au  0.5000  0.5000  0.5000
Au  0.7500  0.2500  0.7500
Au  0.7500  0.7500  0.2500
Br  0.2500  0.2500  0.7500
Br  0.2500  0.7500  0.2500
Br  0.7500  0.2500  0.2500
Br  0.7500  0.7500  0.7500

Output
* SG: F-43m, No. 216



According to the calculations, the structures order from most to least stable as <1>, <2>.